Below is a relaxed ScBeNi2 crystal, with properties calculated at the PBE-GGA level.

a = 2.843 Å, b = 3.952 Å, c = 4.781 Å
α = 90.00°, β = 106.80°, γ = 90.00°
Space group Pm (No. 6)
One atom of each set of equivalent atoms:
Sc 0.000 0.000 0.000 (multiplicity 1)
Be 0.643 0.500 0.290 (multiplicity 1)
Ni 0.340 0.500 0.695 (multiplicity 1)
Ni 0.720 0.000 0.476 (multiplicity 1)

VASP energy ... -5.6015 eV per atom
ΔH_f (0 K) ... -0.79 eV per formula unit


Below is a relaxed Sc2Be5Ni5 crystal, with properties calculated at the PBE-GGA level.

a = 3.702 Å, b = 4.610 Å, c = 8.106 Å
α = 90.00°, β = 90.00°, γ = 90.00°
Space group Pmmm (No. 47)
One atom of each set of equivalent atoms:
Sc 0.000 0.000 0.000 (multiplicity 1)
Sc 0.000 0.500 0.500 (multiplicity 1)
Be 0.500 0.000 0.500 (multiplicity 1)
Be 0.500 0.250 0.251 (multiplicity 4)
Ni 0.000 0.000 0.334 (multiplicity 2)
Ni 0.000 0.500 0.183 (multiplicity 2)
Ni 0.500 0.500 0.000 (multiplicity 1)

VASP energy ... -5.4352 eV per atom
ΔH_f (0 K) ... -5.02 eV per formula unit


Below is a relaxed ScBeNi2 crystal, with properties calculated at the PBE-GGA level.

a = 2.902 Å, b = 2.902 Å, c = 5.893 Å
α = 90.00°, β = 90.00°, γ = 90.00°
Space group P4/mmm (No. 123)
One atom of each set of equivalent atoms:
Sc 0.000 0.000 0.000 (multiplicity 1)
Be 0.000 0.000 0.500 (multiplicity 1)
Ni 0.500 0.500 0.295 (multiplicity 2)

VASP energy ... -5.7498 eV per atom
ΔH_f (0 K) ... -1.38 eV per formula unit


Below is a relaxed ScBe3Ni crystal, with properties calculated at the PBE-GGA level.

a = 4.542 Å, b = 4.542 Å, c = 4.542 Å
α = 90.00°, β = 90.00°, γ = 90.00°
Space group Pm-3m (No. 221)
One atom of each set of equivalent atoms:
Sc 0.000 0.000 0.000 (multiplicity 1)
Be 0.000 0.000 0.500 (multiplicity 3)
Ni 0.500 0.500 0.500 (multiplicity 1)

VASP energy ... -2.5627 eV per atom
Energy relative to the lowest polymorph listed for this composition ... 2.132 eV per atom
ΔH_f (0 K) ... 10.48 eV per formula unit


Below is a relaxed ScBeNi3 crystal, with properties calculated at the PBE-GGA level.

a = 4.368 Å, b = 4.368 Å, c = 4.368 Å
α = 90.00°, β = 90.00°, γ = 90.00°
Space group Pm-3m (No. 221)
One atom of each set of equivalent atoms:
Sc 0.000 0.000 0.000 (multiplicity 1)
Be 0.500 0.500 0.500 (multiplicity 1)
Ni 0.000 0.000 0.500 (multiplicity 3)

VASP energy ... -4.2367 eV per atom
Energy relative to the lowest polymorph listed for this composition ... 1.471 eV per atom
ΔH_f (0 K) ... 6.22 eV per formula unit


Below is a relaxed ScBeNi2 crystal, with properties calculated at the PBE-GGA level.

a = 3.366 Å, b = 3.740 Å, c = 7.955 Å
α = 90.00°, β = 90.00°, γ = 90.00°
Space group Imm2 (No. 44)
One atom of each set of equivalent atoms:
Sc 0.000 0.000 0.000 (multiplicity 2)
Be 0.000 0.500 0.762 (multiplicity 2)
Ni 0.000 0.000 0.484 (multiplicity 2)
Ni 0.000 0.500 0.242 (multiplicity 2)

VASP energy ... -5.7008 eV per atom
ΔH_f (0 K) ... -1.18 eV per formula unit


Below is a relaxed ScBe2Ni2 crystal, with properties calculated at the PBE-GGA level.

a = 3.574 Å, b = 3.574 Å, c = 18.997 Å
α = 90.00°, β = 90.00°, γ = 90.00°
Space group I4/mmm (No. 139)
One atom of each set of equivalent atoms:
Sc 0.000 0.000 0.128 (multiplicity 4)
Be 0.000 0.000 0.315 (multiplicity 4)
Be 0.000 0.500 0.000 (multiplicity 4)
Ni 0.000 0.000 0.433 (multiplicity 4)
Ni 0.000 0.500 0.250 (multiplicity 4)

VASP energy ... -5.4378 eV per atom
Energy relative to the lowest polymorph listed for this composition ... 0.000 eV per atom
ΔH_f (0 K) ... -1.84 eV per formula unit


Below is a relaxed ScBe4Ni crystal, with properties calculated at the PBE-GGA level.

a = 3.895 Å, b = 3.895 Å, c = 5.764 Å
α = 90.00°, β = 90.00°, γ = 90.00°
Space group P4/mmm (No. 123)
One atom of each set of equivalent atoms:
Sc 0.000 0.000 0.000 (multiplicity 1)
Be 0.000 0.500 0.500 (multiplicity 2)
Be 0.500 0.500 0.168 (multiplicity 2)
Ni 0.500 0.500 0.500 (multiplicity 1)

VASP energy ... -4.0724 eV per atom
Energy relative to the lowest polymorph listed for this composition ... 0.647 eV per atom
ΔH_f (0 K) ... 2.58 eV per formula unit


Below is a relaxed Sc2BeNi2 crystal, with properties calculated at the PBE-GGA level.

a = 6.376 Å, b = 6.376 Å, c = 3.743 Å
α = 90.00°, β = 90.00°, γ = 90.00°
Space group P4/mbm (No. 127)
One atom of each set of equivalent atoms:
Sc 0.176 0.324 0.000 (multiplicity 4)
Be 0.000 0.000 0.500 (multiplicity 2)
Ni 0.134 0.634 0.500 (multiplicity 4)

VASP energy ... -5.8857 eV per atom
Energy relative to the lowest polymorph listed for this composition ... 0.136 eV per atom
ΔH_f (0 K) ... -1.48 eV per formula unit


Below is a relaxed ScBe2Ni2 crystal, with properties calculated at the PBE-GGA level.

a = 6.618 Å, b = 6.618 Å, c = 2.605 Å
α = 90.00°, β = 90.00°, γ = 90.00°
Space group P4/mbm (No. 127)
One atom of each set of equivalent atoms:
Sc 0.000 0.000 0.000 (multiplicity 2)
Be 0.116 0.384 0.000 (multiplicity 4)
Ni 0.174 0.674 0.500 (multiplicity 4)

VASP energy ... -5.3802 eV per atom
Energy relative to the lowest polymorph listed for this composition ... 0.058 eV per atom
ΔH_f (0 K) ... -1.55 eV per formula unit


Below is a relaxed ScBe9Ni2 crystal, with properties calculated at the PBE-GGA level.

a = 4.3122 Å, b = 4.3122 Å, c = 20.7155 Å
α = 90.00°, β = 90.00°, γ = 120.00°
Space group R-3m (No. 166, hexagonal axes)
One atom of each set of equivalent atoms:
Sc 0.0000 0.0000 0.0000 (multiplicity 3)
Be 0.0000 0.0000 0.3325 (multiplicity 6)
Be 0.0000 0.0000 0.5000 (multiplicity 3)
Be 0.0043 0.5022 0.9116 (multiplicity 18)
Ni 0.0000 0.0000 0.1420 (multiplicity 6)

VASP energy ... -4.5496 eV per atom
ΔH_f (0 K) ... -3.17 eV per formula unit


Below is a relaxed Sc2Be12Ni5 crystal, with properties calculated at the PBE-GGA level.

a = 7.8085 Å, b = 7.8085 Å, c = 11.1894 Å
α = 90.00°, β = 90.00°, γ = 120.00°
Space group R-3m (No. 166, hexagonal axes)
One atom of each set of equivalent atoms:
Sc 0.0000 0.0000 0.1615 (multiplicity 6)
Be 0.0000 0.2849 0.5000 (multiplicity 18)
Be 0.0053 0.5027 0.3442 (multiplicity 18)
Ni 0.0000 0.0000 0.3986 (multiplicity 6)
Ni 0.0000 0.5000 0.0000 (multiplicity 9)

VASP energy ... -4.8311 eV per atom
ΔH_f (0 K) ... -5.51 eV per formula unit


Below is a relaxed Sc2Be15Ni2 crystal, with properties calculated at the PBE-GGA level.

a = 7.6058 Å, b = 7.6058 Å, c = 11.0610 Å
α = 90.00°, β = 90.00°, γ = 120.00°
Space group R-3m (No. 166, hexagonal axes)
One atom of each set of equivalent atoms:
Sc 0.0000 0.0000 0.1590 (multiplicity 6)
Be 0.0000 0.2834 0.5000 (multiplicity 18)
Be 0.0000 0.5000 0.0000 (multiplicity 9)
Be 0.0029 0.5014 0.3422 (multiplicity 18)
Ni 0.0000 0.0000 0.3948 (multiplicity 6)

VASP energy ... -4.4676 eV per atom
ΔH_f (0 K) ... -4.77 eV per formula unit


Below is a relaxed Sc2Be16Ni crystal, with properties calculated at the PBE-GGA level.

a = 7.5614 Å, b = 7.5614 Å, c = 11.0099 Å
α = 90.00°, β = 90.00°, γ = 120.00°
Space group R3m (No. 160, hexagonal axes)
One atom of each set of equivalent atoms:
Sc 0.0000 0.0000 0.0000 (multiplicity 3)
Sc 0.0000 0.0000 0.3215 (multiplicity 3)
Be 0.0000 0.0000 0.5609 (multiplicity 3)
Be 0.0001 0.2851 0.6625 (multiplicity 18)
Be 0.0033 0.5016 0.5040 (multiplicity 9)
Be 0.1672 0.3344 0.1523 (multiplicity 9)
Be 0.1673 0.3346 0.4947 (multiplicity 9)
Ni 0.0000 0.0000 0.7567 (multiplicity 3)

VASP energy ... -4.3380 eV per atom
ΔH_f (0 K) ... -4.36 eV per formula unit


Below is a relaxed ScBeNi2 crystal, with properties calculated at the PBE-GGA level.

a = 3.828 Å, b = 3.828 Å, c = 15.554 Å
α = 90.00°, β = 90.00°, γ = 90.00°
Space group I-42d (No. 122)
One atom of each set of equivalent atoms:
Sc 0.000 0.000 0.000 (multiplicity 4)
Be 0.000 0.000 0.500 (multiplicity 4)
Ni 0.164 0.250 0.625 (multiplicity 8)

VASP energy ... -5.3382 eV per atom
ΔH_f (0 K) ... 0.27 eV per formula unit


Below is a relaxed ScBe10Ni2 crystal, with properties calculated at the PBE-GGA level.

a = 4.484 Å, b = 10.547 Å, c = 10.720 Å
α = 90.00°, β = 90.00°, γ = 90.00°
Space group Fmmm (No. 69)
One atom of each set of equivalent atoms:
Sc 0.000 0.000 0.000 (multiplicity 4)
Be 0.000 0.112 0.390 (multiplicity 16)
Be 0.000 0.175 0.176 (multiplicity 16)
Be 0.250 0.250 0.000 (multiplicity 8)
Ni 0.250 0.000 0.250 (multiplicity 8)

VASP energy ... -4.3959 eV per atom
ΔH_f (0 K) ... -1.99 eV per formula unit


Below is a relaxed ScBe3Ni3 crystal, with properties calculated at the PBE-GGA level.

a = 5.691 Å, b = 5.691 Å, c = 5.691 Å
α = 90.00°, β = 90.00°, γ = 90.00°
Space group Pm-3n (No. 223)
One atom of each set of equivalent atoms:
Sc 0.000 0.000 0.000 (multiplicity 2)
Be 0.000 0.250 0.500 (multiplicity 6)
Ni 0.000 0.500 0.250 (multiplicity 6)

VASP energy ... -4.8067 eV per atom
ΔH_f (0 K) ... 1.21 eV per formula unit


Below is a relaxed Sc2BeNi2 crystal, with properties calculated at the PBE-GGA level.

a = 8.750 Å, b = 5.105 Å, c = 6.873 Å
α = 90.00°, β = 104.59°, γ = 90.00°
Space group C2/c (No. 15)
One atom of each set of equivalent atoms:
Sc 0.151 0.136 0.150 (multiplicity 8)
Be 0.000 0.354 0.750 (multiplicity 4)
Ni 0.127 0.369 0.501 (multiplicity 8)

VASP energy ... -6.0214 eV per atom
Energy relative to the lowest polymorph listed for this composition ... 0.000 eV per atom
ΔH_f (0 K) ... -2.16 eV per formula unit


Below is a relaxed Sc6BeNi2 crystal, with properties calculated at the PBE-GGA level.

a = 8.712 Å, b = 8.737 Å, c = 9.056 Å
α = 90.00°, β = 90.00°, γ = 90.00°
Space group Immm (No. 71)
One atom of each set of equivalent atoms:
Sc 0.000 0.206 0.174 (multiplicity 8)
Sc 0.179 0.228 0.500 (multiplicity 8)
Sc 0.192 0.500 0.257 (multiplicity 8)
Be 0.000 0.500 0.000 (multiplicity 2)
Be 0.000 0.500 0.500 (multiplicity 2)
Ni 0.000 0.000 0.373 (multiplicity 4)
Ni 0.153 0.000 0.000 (multiplicity 4)

VASP energy ... -6.1606 eV per atom
ΔH_f (0 K) ... -2.17 eV per formula unit


Below is a relaxed ScBeNi3 crystal, with properties calculated at the PBE-GGA level.

a = 5.399 Å, b = 7.988 Å, c = 5.874 Å
α = 90.00°, β = 90.00°, γ = 90.00°
Space group Imma (No. 74)
One atom of each set of equivalent atoms:
Sc 0.000 0.250 0.030 (multiplicity 4)
Be 0.000 0.000 0.500 (multiplicity 4)
Ni 0.000 0.250 0.533 (multiplicity 4)
Ni 0.250 0.015 0.750 (multiplicity 8)

VASP energy ... -5.7079 eV per atom
Energy relative to the lowest polymorph listed for this composition ... 0.000 eV per atom
ΔH_f (0 K) ... -1.14 eV per formula unit


Below is a relaxed ScBe2Ni2 crystal, with properties calculated at the PBE-GGA level.

a = 3.645 Å, b = 3.645 Å, c = 9.240 Å
α = 90.00°, β = 90.00°, γ = 90.00°
Space group I4/mmm (No. 139)
One atom of each set of equivalent atoms:
Sc 0.000 0.000 0.000 (multiplicity 2)
Be 0.000 0.500 0.250 (multiplicity 4)
Ni 0.000 0.000 0.374 (multiplicity 4)

VASP energy ... -5.3679 eV per atom
Energy relative to the lowest polymorph listed for this composition ... 0.070 eV per atom
ΔH_f (0 K) ... -1.49 eV per formula unit


Below is a relaxed ScBe3Ni2 crystal, with properties calculated at the PBE-GGA level.

a = 4.6339 Å, b = 4.6339 Å, c = 3.6458 Å
α = 90.00°, β = 90.00°, γ = 120.00°
Space group P6/mmm (No. 191)
One atom of each set of equivalent atoms:
Sc 0.0000 0.0000 0.0000 (multiplicity 1)
Be 0.0000 0.5000 0.5000 (multiplicity 3)
Ni 0.3333 0.6667 0.0000 (multiplicity 2)

VASP energy ... -5.2615 eV per atom
ΔH_f (0 K) ... -2.50 eV per formula unit